DFT (GGA-PBE) results for an optimized crystal structure of Sr2AsCl.

extended XYZ file:
```
8
Lattice="-3.3213 3.3213 7.4081 3.3213 -3.3213 7.4081 3.3213 3.3213 -7.4081" Properties=species:S:1:pos:R:3 pbc="T T T"
Sr 4.9820 1.5917 -1.8520
Sr 1.5917 1.6607 1.8520
Sr -1.6607 1.7296 5.5560
Sr 1.7296 1.6607 9.2601
As 0.0000 0.0000 0.0000
As 0.0000 3.3213 3.7040
Cl 3.3213 0.0000 3.7040
Cl 0.0000 0.0000 7.4081
```

Output
formation energy without anion corrections	-1.426	eV per atom
uncorrected energy	-3.89	eV per atom
N(E_F)	0.0	states/eV per cell
size of the total moment	0.0	μB/cell

DFT (GGA-PBE) results for an optimized crystal structure of GaHgMo.

extended XYZ file:
```
6
Lattice="3.3378 0.0000 0.0000 0.0000 3.3378 0.0000 0.0000 0.0000 9.8740" Properties=species:S:1:pos:R:3 pbc="T T T"
Ga 0.8344 0.8344 1.9936
Ga 2.5033 2.5033 7.8804
Hg 0.8344 0.8344 5.9571
Hg 2.5033 2.5033 3.9169
Mo 0.8344 0.8344 9.1066
Mo 2.5033 2.5033 0.7674
```

Output
energy relative to the elements	0.10	eV/atom
uncorrected energy	-4.62	eV per atom
ΔE to the lowest computed polymorph	66	meV/atom
N(E_F)	2.9	states/eV per cell
size of the total moment	0.0	μB/cell

DFT (GGA-PBE) results for an optimized crystal structure of ZnCdCo2.

extended XYZ file:
```
4
Lattice="1.3623 0.7865 9.0521 -1.3623 0.7865 9.0521 0.0000 -1.5730 9.0521" Properties=species:S:1:pos:R:3 pbc="T T T"
Zn 0.0000 0.0000 0.0000
Cd 0.0000 0.0000 20.8792
Co 0.0000 0.0000 6.9995
Co 0.0000 0.0000 14.2295
```

Output
energy relative to the elements	0.20	eV/atom
uncorrected energy	-3.90	eV per atom
N(E_F)	2.1	states/eV per cell
size of the total moment	3.2	μB/cell